Record 1
Material: Sb3Br
Method: DFT, GGA-PBE
State: optimized geometry

Cell lengths 5.547, 5.547, 3.528 Å; angles 90.00, 90.00, 90.00 degrees
Sites, in units of the cell vectors:
1 Sb 0.000 0.000 0.000
2 Sb 0.000 0.500 0.500
3 Sb 0.500 0.000 0.500
4 Br 0.500 0.500 0.000

Calculated values
Volume: 109 Å³/f.u.
Formation energy (no corrections): 238 meV/atom
Energy above the most stable polymorph in this dataset: 0.226 eV per atom
VASP energy: -3.272 eV/atom

=====

Record 2
Material: Sb3Br
Method: DFT, GGA-PBE
State: optimized geometry

Cell lengths 8.421, 16.156, 4.159 Å; angles 90.00, 90.00, 90.00 degrees
Sites, in units of the cell vectors:
1 Sb 0.000 0.083 0.250
2 Sb 0.000 0.917 0.750
3 Sb 0.182 0.184 0.750
4 Sb 0.182 0.816 0.250
5 Sb 0.318 0.316 0.250
6 Sb 0.318 0.684 0.750
7 Sb 0.500 0.417 0.750
8 Sb 0.500 0.583 0.250
9 Sb 0.682 0.316 0.250
10 Sb 0.682 0.684 0.750
11 Sb 0.818 0.184 0.750
12 Sb 0.818 0.816 0.250
13 Br 0.000 0.379 0.250
14 Br 0.000 0.621 0.750
15 Br 0.500 0.121 0.750
16 Br 0.500 0.879 0.250

Calculated values
Volume: 141 Å³/f.u.
Formation energy (no corrections): 32 meV/atom
Energy above the most stable polymorph in this dataset: 0.020 eV per atom
VASP energy: -3.478 eV/atom

=====

Record 3
Material: SbBr
Method: DFT, GGA-PBE
State: optimized geometry

Cell lengths 6.313, 6.313, 6.313 Å; angles 90.00, 90.00, 90.00 degrees
Sites, in units of the cell vectors:
1 Sb 0.000 0.000 0.000
2 Sb 0.000 0.500 0.500
3 Sb 0.500 0.000 0.500
4 Sb 0.500 0.500 0.000
5 Br 0.000 0.000 0.500
6 Br 0.000 0.500 0.000
7 Br 0.500 0.000 0.000
8 Br 0.500 0.500 0.500

Calculated values
Volume: 63 Å³/f.u.
Formation energy (no corrections): 386 meV/atom
Energy above the most stable polymorph in this dataset: 0.700 eV per atom
VASP energy: -2.512 eV/atom

=====

Record 4
Material: SbBr2
Method: DFT, GGA-PBE
State: optimized geometry

Cell lengths 15.599, 8.011, 3.867 Å; angles 90.00, 90.00, 90.00 degrees
Sites, in units of the cell vectors:
1 Sb 0.000 0.177 0.250
2 Sb 0.000 0.823 0.750
3 Sb 0.500 0.323 0.750
4 Sb 0.500 0.677 0.250
5 Br 0.129 0.248 0.750
6 Br 0.129 0.752 0.250
7 Br 0.371 0.252 0.250
8 Br 0.371 0.748 0.750
9 Br 0.629 0.252 0.250
10 Br 0.629 0.748 0.750
11 Br 0.871 0.248 0.750
12 Br 0.871 0.752 0.250

Calculated values
Volume: 121 Å³/f.u.
Formation energy (no corrections): -333 meV/atom
Energy above the most stable polymorph in this dataset: 0.124 eV per atom
VASP energy: -2.822 eV/atom